Record 1
Computed, not measured: TbSm4DyS8 after structural relaxation at the GGA-PBE level of DFT.

Cell and atoms, written as CIF:
```
data_TbSm4DyS8
_chemical_formula_sum 'Tb1 Sm4 Dy1 S8'
_cell_length_a 8.189
_cell_length_b 8.189
_cell_length_c 8.175
_cell_angle_alpha 59.94
_cell_angle_beta 59.94
_cell_angle_gamma 60.00
_space_group_name_H-M_alt 'P 1'
_space_group_IT_number 1
loop_
_space_group_symop_operation_xyz
'x,y,z'
loop_
_atom_site_label
_atom_site_type_symbol
_atom_site_fract_x
_atom_site_fract_y
_atom_site_fract_z
Tb1 Tb 0.001 0.001 0.998
Sm1 Sm 0.624 0.624 0.127
Sm2 Sm 0.001 0.498 0.501
Sm3 Sm 0.498 0.001 0.501
Sm4 Sm 0.001 0.001 0.501
Dy1 Dy 0.375 0.375 0.874
S1 S 0.241 0.768 0.750
S2 S 0.768 0.241 0.750
S3 S 0.241 0.241 0.750
S4 S 0.245 0.245 0.264
S5 S 0.761 0.224 0.253
S6 S 0.224 0.761 0.253
S7 S 0.761 0.761 0.253
S8 S 0.757 0.757 0.728
```

symmetry: No. 160
uncorrected energy: -6.289 eV/atom
ΔE_f (raw): -1923 meV per atom
DOS(E_F): 8.43 states/eV per cell

Record 2
Computed, not measured: Tb4Sm3DyS8 after structural relaxation at the GGA-PBE level of DFT.

Cell and atoms, written as CIF:
```
data_Tb4Sm3DyS8
_chemical_formula_sum 'Tb4 Sm3 Dy1 S8'
_cell_length_a 7.909
_cell_length_b 7.917
_cell_length_c 7.908
_cell_angle_alpha 119.96
_cell_angle_beta 120.00
_cell_angle_gamma 90.00
_space_group_name_H-M_alt 'P 1'
_space_group_IT_number 1
loop_
_space_group_symop_operation_xyz
'x,y,z'
loop_
_atom_site_label
_atom_site_type_symbol
_atom_site_fract_x
_atom_site_fract_y
_atom_site_fract_z
Tb1 Tb 0.500 0.000 0.000
Tb2 Tb 0.500 0.000 0.500
Tb3 Tb 0.000 0.000 0.000
Tb4 Tb 0.000 0.000 0.500
Sm1 Sm 0.500 0.500 0.000
Sm2 Sm 0.500 0.500 0.500
Sm3 Sm 0.000 0.500 0.500
Dy1 Dy 0.000 0.500 0.000
S1 S 0.249 0.755 0.005
S2 S 0.249 0.755 0.498
S3 S 0.247 0.242 0.494
S4 S 0.756 0.755 0.005
S5 S 0.244 0.245 0.995
S6 S 0.753 0.758 0.506
S7 S 0.751 0.245 0.502
S8 S 0.751 0.245 0.995
```

symmetry: No. 166
uncorrected energy: -6.402 eV/atom
ΔE_f (raw): -2008 meV per atom
DOS(E_F): 8.97 states/eV per cell

Record 3
Computed, not measured: Tb2SmDyS4 after structural relaxation at the GGA-PBE level of DFT.

Cell and atoms, written as CIF:
```
data_Tb2SmDyS4
_chemical_formula_sum 'Tb2 Sm1 Dy1 S4'
_cell_length_a 3.908
_cell_length_b 6.840
_cell_length_c 6.860
_cell_angle_alpha 70.94
_cell_angle_beta 90.00
_cell_angle_gamma 90.00
_space_group_name_H-M_alt 'P 1'
_space_group_IT_number 1
loop_
_space_group_symop_operation_xyz
'x,y,z'
loop_
_atom_site_label
_atom_site_type_symbol
_atom_site_fract_x
_atom_site_fract_y
_atom_site_fract_z
Tb1 Tb 0.000 0.000 0.000
Tb2 Tb 0.500 0.000 0.500
Sm1 Sm 0.500 0.500 0.000
Dy1 Dy 0.000 0.500 0.500
S1 S 0.000 0.754 0.744
S2 S 0.000 0.246 0.256
S3 S 0.500 0.751 0.254
S4 S 0.500 0.249 0.746
```

symmetry: No. 10
uncorrected energy: -6.392 eV/atom
ΔE_f (raw): -2006 meV per atom
DOS(E_F): 4.83 states/eV per cell

Record 4
Computed, not measured: Tb3Sm3DyS8 after structural relaxation at the GGA-PBE level of DFT.

Cell and atoms, written as CIF:
```
data_Tb3Sm3DyS8
_chemical_formula_sum 'Tb3 Sm3 Dy1 S8'
_cell_length_a 7.901
_cell_length_b 7.900
_cell_length_c 7.931
_cell_angle_alpha 119.87
_cell_angle_beta 90.00
_cell_angle_gamma 120.00
_space_group_name_H-M_alt 'P 1'
_space_group_IT_number 1
loop_
_space_group_symop_operation_xyz
'x,y,z'
loop_
_atom_site_label
_atom_site_type_symbol
_atom_site_fract_x
_atom_site_fract_y
_atom_site_fract_z
Tb1 Tb 0.500 0.000 0.500
Tb2 Tb 0.500 0.500 0.500
Tb3 Tb 0.000 0.500 0.500
Sm1 Sm 0.000 0.000 0.000
Sm2 Sm 0.000 0.500 0.000
Sm3 Sm 0.500 0.500 0.000
Dy1 Dy 0.000 0.000 0.500
S1 S 0.252 0.505 0.257
S2 S 0.748 0.495 0.743
S3 S 0.752 0.505 0.257
S4 S 0.248 0.495 0.743
S5 S 0.752 0.005 0.257
S6 S 0.248 0.995 0.743
S7 S 0.253 0.005 0.257
S8 S 0.747 0.995 0.743
```

symmetry: No. 166
uncorrected energy: -6.438 eV/atom
ΔE_f (raw): -2060 meV per atom
DOS(E_F): 6.73 states/eV per cell

Record 5
Computed, not measured: Tb4SmDy3S8 after structural relaxation at the GGA-PBE level of DFT.

Cell and atoms, written as CIF:
```
data_Tb4SmDy3S8
_chemical_formula_sum 'Tb4 Sm1 Dy3 S8'
_cell_length_a 7.859
_cell_length_b 7.857
_cell_length_c 7.862
_cell_angle_alpha 119.99
_cell_angle_beta 119.99
_cell_angle_gamma 90.00
_space_group_name_H-M_alt 'P 1'
_space_group_IT_number 1
loop_
_space_group_symop_operation_xyz
'x,y,z'
loop_
_atom_site_label
_atom_site_type_symbol
_atom_site_fract_x
_atom_site_fract_y
_atom_site_fract_z
Tb1 Tb 0.500 0.000 0.000
Tb2 Tb 0.500 0.000 0.500
Tb3 Tb 0.000 0.000 0.000
Tb4 Tb 0.000 0.000 0.500
Sm1 Sm 0.000 0.500 0.000
Dy1 Dy 0.500 0.500 0.000
Dy2 Dy 0.500 0.500 0.500
Dy3 Dy 0.000 0.500 0.500
S1 S 0.252 0.751 0.998
S2 S 0.253 0.751 0.506
S3 S 0.251 0.252 0.502
S4 S 0.746 0.751 0.998
S5 S 0.254 0.249 0.002
S6 S 0.749 0.748 0.498
S7 S 0.747 0.249 0.494
S8 S 0.748 0.249 0.002
```

symmetry: No. 166
uncorrected energy: -6.379 eV/atom
ΔE_f (raw): -2000 meV per atom
DOS(E_F): 9.06 states/eV per cell

Record 6
Computed, not measured: Tb3SmDy2S6 after structural relaxation at the GGA-PBE level of DFT.

Cell and atoms, written as CIF:
```
data_Tb3SmDy2S6
_chemical_formula_sum 'Tb3 Sm1 Dy2 S6'
_cell_length_a 6.820
_cell_length_b 6.820
_cell_length_c 6.809
_cell_angle_alpha 99.57
_cell_angle_beta 99.57
_cell_angle_gamma 120.20
_space_group_name_H-M_alt 'P 1'
_space_group_IT_number 1
loop_
_space_group_symop_operation_xyz
'x,y,z'
loop_
_atom_site_label
_atom_site_type_symbol
_atom_site_fract_x
_atom_site_fract_y
_atom_site_fract_z
Tb1 Tb 0.164 0.836 0.500
Tb2 Tb 0.836 0.164 0.500
Tb3 Tb 0.500 0.500 0.500
Sm1 Sm 0.000 0.000 0.000
Dy1 Dy 0.334 0.666 0.000
Dy2 Dy 0.666 0.334 0.000
S1 S 0.916 0.577 0.748
S2 S 0.744 0.744 0.250
S3 S 0.084 0.423 0.252
S4 S 0.577 0.916 0.748
S5 S 0.256 0.256 0.750
S6 S 0.423 0.084 0.252
```

symmetry: No. 12
uncorrected energy: -6.391 eV/atom
ΔE_f (raw): -2010 meV per atom
DOS(E_F): 4.83 states/eV per cell